Record 1
Hf6InPt: relaxed, PBE.

## Properties
Space group   C2/m, No. 12
E_form   -0.567 kcal/mol of atoms
Uncorrected energy   -8.587 eV/atom
N(E_F)   1.2058 states/eV per atom

Unit cell a=6.083 b=6.083 c=6.087 alpha=108.78 beta=108.78 gamma=108.73
Fractional positions:
Hf 0.220 0.745 0.745
Hf 0.255 0.255 0.778
Hf 0.255 0.780 0.255
Hf 0.745 0.220 0.745
Hf 0.745 0.745 0.222
Hf 0.780 0.255 0.255
In 0.500 0.500 0.500
Pt 0.000 0.000 0.000

Record 2
KMoAu2: relaxed, PBE.

## Properties
Energy relative to the lowest polymorph listed for this composition   250 meV per atom
Space group   P4mm, No. 99
E_form   12.345 kcal/mol of atoms
Uncorrected energy   -4.086 eV/atom
N(E_F)   0.6355 states/eV per atom

Unit cell a=2.878 b=2.878 c=9.932 alpha=90.00 beta=90.00 gamma=90.00
Fractional positions:
K 0.000 0.000 0.000
Mo 0.500 0.500 0.304
Au 0.000 0.000 0.505
Au 0.500 0.500 0.728